Entry 1:
This record from the Alexandria database describes HoPa2Ru after structural relaxation. The functional is GGA-PBE. Values from VASP.

Quantum ESPRESSO input file:
```
&SYSTEM
  ibrav = 0, nat = 4, ntyp = 3
/
ATOMIC_SPECIES
Pa 231.04 Pa.upf
Ru 101.07 Ru.upf
Ho 164.93 Ho.upf
CELL_PARAMETERS angstrom
-1.421 -3.135 -1.202
1.235 -3.176 1.295
-6.196 -1.826 6.561
ATOMIC_POSITIONS crystal
Pa 0.732 0.732 0.805
Pa 0.268 0.268 0.195
Ru 0.000 0.000 0.000
Ho 0.500 0.500 0.500
```

## Properties
**Symmetry**: R-3m
**N(E_F)**: 6.9 states/eV per cell
**Energy above the lowest structure with this stoichiometry**: 45 meV/atom
**Calculated formation energy**: -0.1 eV per formula unit



Entry 2:
This record from the Alexandria database describes Ho2Pa2Ru5 after structural relaxation. The functional is GGA-PBE. Values from VASP.

Quantum ESPRESSO input file:
```
&SYSTEM
  ibrav = 0, nat = 9, ntyp = 3
/
ATOMIC_SPECIES
Ru 101.07 Ru.upf
Pa 231.04 Pa.upf
Ho 164.93 Ho.upf
CELL_PARAMETERS angstrom
-4.607 -0.361 2.721
3.698 -5.654 0.228
1.583 6.391 3.528
ATOMIC_POSITIONS crystal
Ru 0.111 0.221 0.474
Ru 0.889 0.779 0.526
Ru 0.000 0.000 0.000
Ru 0.640 0.279 0.060
Ru 0.360 0.721 0.940
Pa 0.147 0.294 0.873
Pa 0.853 0.706 0.127
Ho 0.357 0.715 0.530
Ho 0.643 0.285 0.470
```

## Properties
**Symmetry**: C2/m
**N(E_F)**: 6.8 states/eV per cell
**Calculated formation energy**: -1.5 eV per formula unit



Entry 3:
This record from the Alexandria database describes Ho3PaRu3 after structural relaxation. The functional is GGA-PBE. Values from VASP.

Quantum ESPRESSO input file:
```
&SYSTEM
  ibrav = 0, nat = 14, ntyp = 3
/
ATOMIC_SPECIES
Ru 101.07 Ru.upf
Ho 164.93 Ho.upf
Pa 231.04 Pa.upf
CELL_PARAMETERS angstrom
6.673 1.949 0.707
-1.228 6.842 0.707
-0.120 -0.193 6.566
ATOMIC_POSITIONS crystal
Ru 0.930 0.930 0.196
Ru 0.070 0.070 0.804
Ru 0.508 0.987 0.763
Ru 0.013 0.492 0.237
Ru 0.987 0.508 0.763
Ru 0.492 0.013 0.237
Ho 0.814 0.186 0.500
Ho 0.293 0.707 0.000
Ho 0.707 0.293 0.000
Ho 0.314 0.314 0.544
Ho 0.686 0.686 0.456
Ho 0.186 0.814 0.500
Pa 0.791 0.791 0.910
Pa 0.209 0.209 0.090
```

## Properties
**Symmetry**: C2/m
**N(E_F)**: 9.9 states/eV per cell
**Energy above the lowest structure with this stoichiometry**: 64 meV/atom
**Calculated formation energy**: -2.9 eV per formula unit



Entry 4:
This record from the Alexandria database describes Ho2Pa2Ru3 after structural relaxation. The functional is GGA-PBE. Values from VASP.

Quantum ESPRESSO input file:
```
&SYSTEM
  ibrav = 0, nat = 14, ntyp = 3
/
ATOMIC_SPECIES
Ru 101.07 Ru.upf
Pa 231.04 Pa.upf
Ho 164.93 Ho.upf
CELL_PARAMETERS angstrom
5.092 0.000 -1.323
0.000 10.137 0.000
1.123 0.000 5.780
ATOMIC_POSITIONS crystal
Ru 0.000 0.000 0.000
Ru 0.374 0.898 0.359
Ru 0.500 0.500 0.000
Ru 0.126 0.398 0.641
Ru 0.874 0.602 0.359
Ru 0.626 0.102 0.641
Pa 0.623 0.367 0.634
Pa 0.877 0.867 0.366
Pa 0.123 0.133 0.634
Pa 0.377 0.633 0.366
Ho 0.550 0.144 0.133
Ho 0.450 0.856 0.867
Ho 0.950 0.644 0.867
Ho 0.050 0.356 0.133
```

## Properties
**Symmetry**: P2_1/c
**N(E_F)**: 12.6 states/eV per cell
**Energy above the lowest structure with this stoichiometry**: 0 meV/atom
**Calculated formation energy**: -3.2 eV per formula unit



Entry 5:
This record from the Alexandria database describes Ho3PaRu4 after structural relaxation. The functional is GGA-PBE. Values from VASP.

Quantum ESPRESSO input file:
```
&SYSTEM
  ibrav = 0, nat = 8, ntyp = 3
/
ATOMIC_SPECIES
Ho 164.93 Ho.upf
Ru 101.07 Ru.upf
Pa 231.04 Pa.upf
CELL_PARAMETERS angstrom
4.645 0.000 -1.254
-0.310 4.667 -1.148
-0.467 -0.395 7.500
ATOMIC_POSITIONS crystal
Ho 0.000 0.500 0.000
Ho 0.248 0.745 0.495
Ho 0.752 0.255 0.505
Ru 0.883 0.885 0.765
Ru 0.117 0.115 0.235
Ru 0.383 0.361 0.767
Ru 0.617 0.639 0.233
Pa 0.500 0.000 0.000
```

## Properties
**Symmetry**: C2/m
**N(E_F)**: 3.3 states/eV per cell
**Energy above the lowest structure with this stoichiometry**: 0 meV/atom
**Calculated formation energy**: -4.0 eV per formula unit



Entry 6:
This record from the Alexandria database describes HoPa2Ru3 after structural relaxation. The functional is GGA-PBE. Values from VASP.

Quantum ESPRESSO input file:
```
&SYSTEM
  ibrav = 0, nat = 12, ntyp = 3
/
ATOMIC_SPECIES
Pa 231.04 Pa.upf
Ru 101.07 Ru.upf
Ho 164.93 Ho.upf
CELL_PARAMETERS angstrom
5.416 -0.492 0.560
-3.283 5.756 -2.808
0.798 -0.727 8.882
ATOMIC_POSITIONS crystal
Pa 0.702 0.343 0.619
Pa 0.542 0.748 0.972
Pa 0.458 0.252 0.028
Pa 0.298 0.657 0.381
Ru 0.329 0.472 0.642
Ru 0.305 0.890 0.725
Ru 0.966 0.626 0.917
Ru 0.695 0.110 0.275
Ru 0.034 0.374 0.083
Ru 0.671 0.528 0.358
Ho 0.923 0.028 0.709
Ho 0.077 0.972 0.291
```

## Properties
**Symmetry**: P-1
**N(E_F)**: 9.1 states/eV per cell
**Calculated formation energy**: -3.0 eV per formula unit



> Look up the calculated formation energy of the first one.

-0.1 eV per formula unit